First-principles (PBE with a Hubbard U) data for a relaxed structure of Ni5Hg3O12, as listed in Alexandria.

```
data_Ni5Hg3O12
_chemical_formula_sum 'Ni40 Hg24 O96'
_cell_length_a 12.466
_cell_length_b 12.466
_cell_length_c 12.466
_cell_angle_alpha 90.00
_cell_angle_beta 90.00
_cell_angle_gamma 90.00
_symmetry_space_group_name_H-M 'I a -3 d'
_symmetry_Int_Tables_number 230
_symmetry_space_group_name_Hall '-I 4bd 2c 3'
loop_
_atom_site_label
_atom_site_type_symbol
_atom_site_fract_x
_atom_site_fract_y
_atom_site_fract_z
Ni1 Ni 0.000 0.000 0.000
Ni2 Ni 0.000 0.250 0.375
Hg1 Hg 0.000 0.250 0.125
O1 O 0.027 0.044 0.647
```

## Properties
The calculation puts the mass density at 7.5 g cm⁻³. The spin magnetization comes out at 80.34 μB per cell. The calculation puts the total energy at -3.97 eV per atom. The value obtained for the density of states at the Fermi level is 5.7 states/eV/f.u.